1.
12
Lattice="5.984 -0.482 -1.062 -1.863 7.023 -3.363 -0.399 0.176 7.995" Properties=species:S:1:pos:R:3 comment="PBE Ho4SnRu, optimized geometry" relative_energy_mev_per_atom=0.0 total_energy_ev_per_atom=-5.755 m_tot_mub_per_atom=0.00 ef_ev_per_atom=-0.490 pbc="T T T"
Ho 5.199 0.079 4.570
Ho 2.486 1.859 5.993
Ho -1.476 6.638 -1.001
Ho 0.313 5.495 2.174
Ho 3.409 1.221 1.395
Ho 0.212 2.422 0.335
Ho 3.511 4.294 3.235
Ho 1.236 4.857 -2.424
Sn 3.169 4.120 0.056
Sn 0.554 2.596 3.513
Ru 1.097 0.056 7.727
Ru 2.625 6.660 -4.158

=====

2.
10
Lattice="5.496 0.000 0.000 -2.748 4.858 -1.400 0.000 -0.028 8.066" Properties=species:S:1:pos:R:3 comment="PBE Ho2SnRu2, optimized geometry" total_energy_ev_per_atom=-6.850 m_tot_mub_per_atom=0.00 ef_ev_per_atom=-0.508 pbc="T T T"
Ho 3.610 1.395 4.808
Ho 0.862 3.420 5.890
Ho -0.862 3.434 1.857
Ho 1.886 1.409 0.775
Ru 4.635 1.398 -0.307
Ru 1.887 3.445 2.940
Ru 0.861 1.385 3.726
Ru -1.887 3.431 6.973
Sn 4.713 -0.007 2.016
Sn 0.783 -0.021 6.049

=====

3.
24
Lattice="-3.235 2.848 0.505 -5.536 -7.482 6.726 5.715 4.726 9.961" Properties=species:S:1:pos:R:3 comment="PBE Ho3Sn2Ru, optimized geometry" total_energy_ev_per_atom=-5.793 m_tot_mub_per_atom=0.00 ef_ev_per_atom=-0.623 pbc="T T T"
Ho -1.161 -0.900 6.964
Ho -7.023 -4.439 8.005
Ho -2.169 1.722 4.360
Ho -4.715 -2.291 10.678
Ho -2.556 -1.815 3.182
Ho 0.309 3.572 9.802
Ho -0.888 -1.631 12.832
Ho -0.501 1.906 14.010
Ho -3.365 -3.481 7.390
Ho -1.896 0.992 10.227
Ho 3.967 4.531 9.186
Ho 1.659 2.382 6.514
Sn 2.182 5.383 11.588
Sn -1.295 2.183 7.361
Sn -1.761 -2.091 9.831
Sn -4.159 -0.770 5.665
Sn 0.933 2.131 3.281
Sn -5.238 -5.292 5.604
Sn 1.103 0.862 11.526
Sn -3.989 -2.040 13.911
Ru -3.793 -0.835 8.372
Ru -0.832 0.305 2.274
Ru -2.224 -0.213 14.917
Ru 0.737 0.926 8.820

=====

4.
11
Lattice="-2.206 1.125 -4.330 -5.162 -3.810 1.639 -0.960 8.159 5.483" Properties=species:S:1:pos:R:3 comment="PBE Ho8Sn2Ru, optimized geometry" total_energy_ev_per_atom=-5.277 m_tot_mub_per_atom=0.00 ef_ev_per_atom=-0.376 pbc="T T T"
Sn -3.683 5.186 0.351
Sn -4.645 0.289 2.441
Ho -5.785 2.896 0.827
Ho -6.845 -0.720 0.427
Ho -3.829 0.368 -0.827
Ho -2.542 2.579 1.965
Ho -4.498 5.107 3.619
Ho -1.482 6.194 2.365
Ho -4.143 -2.651 1.421
Ho -4.185 8.125 1.370
Ru -1.103 0.563 -2.165

=====

5.
19
Lattice="-3.427 -6.336 4.470 4.067 -3.167 -6.731 5.483 4.252 4.871" Properties=species:S:1:pos:R:3 comment="PBE Ho12SnRu6, optimized geometry" total_energy_ev_per_atom=-6.376 m_tot_mub_per_atom=0.00 ef_ev_per_atom=-0.345 pbc="T T T"
Ho 1.572 -3.313 6.141
Ho 4.079 -2.653 3.640
Ho 3.222 -0.084 1.264
Ho 2.901 -5.167 1.347
Ho 5.391 -2.790 0.288
Ho 2.043 -2.599 -1.029
Ho 7.126 0.360 0.504
Ho -1.003 -5.611 2.107
Ho 2.305 -6.483 -1.954
Ho 0.732 -2.461 2.323
Ho 4.550 -1.938 -3.531
Ho 3.818 1.232 4.564
Ru 2.219 -0.907 4.439
Ru 4.855 -0.642 -1.212
Ru 5.546 -0.240 2.576
Ru 1.268 -4.609 3.822
Ru 0.576 -5.012 0.034
Ru 3.904 -4.344 -1.828
Sn 0.000 0.000 0.000

=====

6.
4
Lattice="-1.754 -2.820 1.187 1.679 -2.450 1.901 -2.082 2.711 8.604" Properties=species:S:1:pos:R:3 comment="PBE Ho2SnRu, optimized geometry" relative_energy_mev_per_atom=237.2 total_energy_ev_per_atom=-5.939 m_tot_mub_per_atom=0.00 ef_ev_per_atom=-0.330 pbc="T T T"
Ho -1.696 -1.748 9.059
Ho -0.460 -0.811 2.633
Sn -1.078 -1.279 5.846
Ru 0.000 0.000 0.000

=====

7.
3
Lattice="-0.968 -1.774 -4.160 0.460 -4.542 -0.741 -3.753 -2.642 -0.571" Properties=species:S:1:pos:R:3 comment="PBE HoSnRu, optimized geometry" total_energy_ev_per_atom=-6.330 m_tot_mub_per_atom=0.00 ef_ev_per_atom=-0.378 pbc="T T T"
Ho -2.131 -4.479 -2.736
Sn 0.000 0.000 0.000
Ru -1.065 -2.240 -1.368

=====

8.
10
Lattice="-0.533 -0.462 -3.335 2.176 -2.623 0.016 -13.507 -11.182 3.708" Properties=species:S:1:pos:R:3 comment="PBE Ho5SnRu4, optimized geometry" total_energy_ev_per_atom=-6.846 m_tot_mub_per_atom=0.00 ef_ev_per_atom=-0.446 pbc="T T T"
Sn 0.000 0.000 0.000
Ho -0.891 -2.960 -1.189
Ho -10.973 -11.307 1.579
Ho -5.932 -7.134 0.195
Ho -3.413 -5.048 -0.497
Ho -8.451 -9.219 0.886
Ru -10.598 -8.774 2.910
Ru -8.025 -6.644 2.203
Ru -2.908 -2.408 0.798
Ru -5.481 -4.538 1.505

=====

9.
20
Lattice="-4.407 -4.337 1.241 -1.512 -2.683 -8.303 5.331 -7.021 0.836" Properties=species:S:1:pos:R:3 comment="PBE HoSn3Ru, optimized geometry" total_energy_ev_per_atom=-5.516 m_tot_mub_per_atom=0.00 ef_ev_per_atom=-0.343 pbc="T T T"
Sn -3.557 -7.346 -3.266
Sn 0.694 -6.475 -1.151
Sn 2.969 -6.696 -2.960
Sn -4.171 -8.339 -6.588
Sn -2.150 -7.784 -0.560
Sn -1.282 -7.567 -5.074
Sn 0.637 -9.237 -3.337
Sn -1.225 -4.805 -2.888
Sn -3.444 -4.813 -5.458
Sn 1.562 -6.258 -5.665
Sn 3.583 -5.703 0.363
Sn 2.856 -9.229 -0.767
Ho -0.166 -10.176 -6.487
Ho -4.119 -5.088 -1.111
Ho -0.423 -3.866 0.262
Ho 3.531 -8.954 -5.114
Ru -2.534 -3.818 -7.886
Ru 0.195 -9.114 -0.678
Ru 1.946 -10.224 1.660
Ru -0.783 -4.928 -5.547

=====

10.
4
Lattice="-1.584 0.411 -4.776 -4.571 -1.704 -1.299 -3.671 3.262 -1.170" Properties=species:S:1:pos:R:3 comment="PBE Ho2SnRu, optimized geometry" relative_energy_mev_per_atom=142.9 total_energy_ev_per_atom=-6.033 m_tot_mub_per_atom=0.00 ef_ev_per_atom=-0.425 pbc="T T T"
Ho -2.457 0.492 -1.811
Ho -7.370 1.476 -5.434
Sn -4.913 0.984 -3.623
Ru 0.000 0.000 0.000

=====

11.
4
Lattice="-2.085 2.177 -1.528 0.358 -1.695 -2.902 -6.330 -4.689 1.957" Properties=species:S:1:pos:R:3 comment="PBE Ho2SnRu, optimized geometry" relative_energy_mev_per_atom=0.0 total_energy_ev_per_atom=-6.176 m_tot_mub_per_atom=0.00 ef_ev_per_atom=-0.568 pbc="T T T"
Ho -1.303 -0.965 0.403
Ho -5.027 -3.724 1.554
Sn -4.029 -2.104 -1.237
Ru -0.864 0.241 -2.215

=====

12.
11
Lattice="-4.445 0.957 -4.560 -1.346 -6.298 -0.010 -5.094 1.081 5.192" Properties=species:S:1:pos:R:3 comment="PBE HoSn8Ru2, optimized geometry" total_energy_ev_per_atom=-5.017 m_tot_mub_per_atom=0.00 ef_ev_per_atom=-0.003 pbc="T T T"
Sn -5.472 -3.805 -2.340
Sn -8.378 -3.188 0.623
Sn -2.507 -1.071 0.000
Sn -6.102 -3.678 2.957
Sn -5.413 -0.455 2.962
Sn -7.689 0.036 0.628
Sn -4.783 -0.581 -2.335
Sn -3.196 -4.295 -0.005
Ru -2.223 0.479 -2.280
Ru -0.673 -3.149 -0.005
Ho -5.443 -2.130 0.311

=====

13.
8
Lattice="6.773 0.009 0.005 3.379 5.875 0.012 3.374 1.953 6.494" Properties=species:S:1:pos:R:3 comment="PBE Ho6SnRu, optimized geometry" total_energy_ev_per_atom=-5.199 m_tot_mub_per_atom=0.00 ef_ev_per_atom=-0.106 pbc="T T T"
Sn 6.763 3.919 3.256
Ho 4.245 3.933 4.932
Ho 5.495 1.749 1.572
Ho 8.031 6.088 4.939
Ho 9.281 3.905 1.579
Ho 5.526 6.111 1.579
Ho 8.000 1.726 4.933
Ru 0.000 0.000 0.000

=====

14.
14
Lattice="-3.538 -3.098 -3.679 8.466 -2.784 0.043 -4.120 -0.991 7.233" Properties=species:S:1:pos:R:3 comment="PBE Ho4SnRu2, optimized geometry" total_energy_ev_per_atom=-6.307 m_tot_mub_per_atom=0.00 ef_ev_per_atom=-0.469 pbc="T T T"
Ho 2.083 -2.453 -0.609
Ho -0.453 -4.769 1.517
Ho -4.480 -3.407 3.874
Ho 1.869 -4.931 -2.879
Ho -2.463 -0.717 4.382
Ho -2.610 -2.276 1.199
Ho 0.983 -4.456 4.838
Ho 0.407 -1.304 2.490
Ru 3.717 -4.595 -0.375
Ru -0.487 -3.665 -0.986
Ru -1.509 -3.252 3.658
Ru 0.171 -1.838 5.458
Sn 3.087 -3.458 2.305
Sn -0.528 -0.689 -0.602

=====

15.
12
Lattice="6.747 0.000 -0.017 0.000 6.953 0.000 -0.101 0.000 7.555" Properties=species:S:1:pos:R:3 comment="PBE Ho4SnRu, optimized geometry" relative_energy_mev_per_atom=182.6 total_energy_ev_per_atom=-5.572 m_tot_mub_per_atom=0.00 ef_ev_per_atom=-0.307 pbc="T T T"
Ho 4.171 1.015 6.051
Ho 4.452 4.574 4.819
Ho 5.567 1.097 2.710
Ho 1.079 5.856 4.828
Ho 5.849 4.491 1.478
Ho 2.475 5.938 1.487
Ho 2.194 2.379 2.719
Ho 0.797 2.462 6.060
Ru -0.050 3.477 3.777
Ru 3.323 0.000 3.769
Sn 0.000 0.000 0.000
Sn 3.373 3.477 -0.009

=====

16.
3
Lattice="-2.196 -2.308 -1.383 2.950 -0.712 -3.498 0.293 -2.576 3.837" Properties=species:S:1:pos:R:3 comment="PBE HoSnRu, optimized geometry" total_energy_ev_per_atom=-6.356 m_tot_mub_per_atom=0.00 ef_ev_per_atom=-0.404 pbc="T T T"
Ru 0.813 -2.339 1.162
Sn -0.366 -0.385 -0.230
Ho 0.600 -2.873 -1.975

=====

17.
20
Lattice="-2.778 4.400 -2.734 -6.959 -2.254 3.443 2.014 6.405 8.261" Properties=species:S:1:pos:R:3 comment="PBE Ho3SnRu, optimized geometry" total_energy_ev_per_atom=-5.700 m_tot_mub_per_atom=0.00 ef_ev_per_atom=-0.298 pbc="T T T"
Ho -6.658 3.317 2.480
Ho -4.015 6.500 8.241
Ho -5.615 1.005 4.019
Ho -3.709 2.051 0.730
Ho -0.753 0.358 1.322
Ho -6.970 8.192 7.649
Ho -1.065 5.234 6.490
Ho -2.108 7.546 4.952
Ho -4.606 4.620 5.816
Ho -3.118 3.931 3.155
Ho -7.561 6.312 5.224
Ho -0.162 2.239 3.747
Sn -3.480 -1.127 1.722
Sn -2.473 2.076 5.852
Sn -0.382 5.402 2.764
Sn -1.389 2.200 -1.367
Ru -6.365 5.213 7.798
Ru -2.767 3.729 8.072
Ru -1.358 3.337 1.173
Ru -4.956 4.822 0.899

=====

18.
19
Lattice="-7.155 -4.213 2.126 5.696 -6.344 0.875 1.411 4.197 7.339" Properties=species:S:1:pos:R:3 comment="PBE Ho12Sn6Ru, optimized geometry" total_energy_ev_per_atom=-5.034 m_tot_mub_per_atom=0.00 ef_ev_per_atom=-0.390 pbc="T T T"
Sn -3.248 -3.089 7.243
Sn 0.570 -6.957 4.881
Sn 2.586 -2.215 7.808
Sn 3.200 -3.272 3.098
Sn -0.618 0.596 5.459
Sn -2.633 -4.146 2.533
Ru 0.000 0.000 0.000
Ho -0.459 -1.855 7.516
Ho 0.484 -8.808 2.416
Ho 2.228 -4.556 5.867
Ho -1.856 -5.182 5.464
Ho 5.635 -5.157 3.275
Ho 5.119 -0.473 7.564
Ho -0.532 2.447 7.924
Ho -5.682 -1.204 7.065
Ho 1.808 -1.179 4.877
Ho -5.167 -5.888 2.776
Ho -2.275 -1.804 4.473
Ho 0.411 -4.505 2.824

=====

19.
20
Lattice="4.366 0.000 -0.744 0.000 7.198 0.000 0.047 0.000 13.461" Properties=species:S:1:pos:R:3 comment="PBE Ho2Sn5Ru3, optimized geometry" total_energy_ev_per_atom=-6.102 m_tot_mub_per_atom=0.00 ef_ev_per_atom=-0.402 pbc="T T T"
Ho 0.774 5.278 4.542
Ho 2.128 5.423 12.490
Ho 2.285 1.824 0.227
Ho 3.639 1.679 8.175
Ru 3.413 5.234 6.849
Ru 2.656 3.636 2.405
Ru 1.757 0.037 10.313
Ru 1.000 1.635 5.868
Ru 0.218 6.993 1.281
Ru 4.194 3.393 11.436
Sn 3.114 0.108 5.095
Sn 3.870 5.388 9.531
Sn 0.218 4.208 1.277
Sn 1.298 3.707 7.623
Sn 1.311 6.792 7.695
Sn 2.617 6.355 2.176
Sn 4.195 0.609 11.440
Sn 3.102 3.193 5.023
Sn 0.543 1.789 3.186
Sn 1.796 2.756 10.542

=====

20.
8
Lattice="-0.181 2.476 2.171 -1.310 -2.048 2.228 12.423 -3.043 4.505" Properties=species:S:1:pos:R:3 comment="PBE Ho3TaRu4, optimized geometry" total_energy_ev_per_atom=-8.250 m_tot_mub_per_atom=0.00 ef_ev_per_atom=-0.414 pbc="T T T"
Ru 11.072 -2.712 4.015
Ru 7.809 -1.913 2.832
Ru 1.351 -0.331 0.490
Ru 4.614 -1.130 1.673
Ho 8.585 -2.071 5.583
Ho 2.348 -0.544 3.321
Ho 5.467 -1.308 4.452
Ta -0.745 0.214 2.199

=====

21.
12
Lattice="-1.528 2.816 -3.484 -5.371 -3.956 -0.843 -7.033 3.295 2.538" Properties=species:S:1:pos:R:3 comment="PBE Ho5TaRu6, optimized geometry" total_energy_ev_per_atom=-7.933 m_tot_mub_per_atom=0.00 ef_ev_per_atom=-0.400 pbc="T T T"
Ru -9.994 -0.936 0.415
Ru -6.748 1.022 -2.645
Ru -3.937 3.092 -2.204
Ru -11.935 1.656 0.146
Ru -7.183 1.134 0.856
Ru -1.997 0.500 -1.935
Ho -2.685 -1.978 -0.421
Ho -4.634 0.709 -0.610
Ho -6.597 3.409 -0.779
Ho -9.297 1.447 -1.179
Ho -7.334 -1.253 -1.010
Ta 0.000 0.000 0.000